# 1
Entry from Alexandria via LeMat-Bulk: crystalline CdIn3Hg3 at its relaxed geometry (PBE).

Unit cell a=7.6664 b=7.6664 c=22.5983 alpha=90.00 beta=90.00 gamma=120.00
With the nearest neighbours (Å) after each atom.
Space group R-3m (No. 166, hexagonal axes)
Symmetry-distinct sites (fractional):
Cd1 0.0000 0.0000 0.1833 x6  3 In 3.08, 3 Hg 3.15
In1 0.0500 0.5250 0.2266 x18  3 Hg 3.04-3.22, 1 Cd 3.08, 4 In 3.26-3.30
Hg1 0.0621 0.5310 0.3691 x18  3 In 3.04-3.22, 4 Hg 3.08-3.12, 1 Cd 3.15

ΔE to the lowest computed polymorph = 23.6 meV/atom
Calculated formation energy = 46.3 meV per atom

# 2
Entry from Alexandria via LeMat-Bulk: crystalline ZrHRu3 at its relaxed geometry (PBE).

Unit cell a=4.8614 b=4.8614 c=4.8614 alpha=90.00 beta=90.00 gamma=90.00
With the nearest neighbours (Å) after each atom.
Space group Pm-3m (No. 221)
Symmetry-distinct sites (fractional):
Zr1 0.0000 0.0000 0.0000 x1  6 Ru 2.43
H1 0.5000 0.5000 0.5000 x1  12 Ru 3.44
Ru1 0.0000 0.0000 0.5000 x3  2 Zr 2.43

ΔE to the lowest computed polymorph = 2482.2 meV/atom

# 3
Entry from Alexandria via LeMat-Bulk: crystalline CaPb2IO at its relaxed geometry (PBE).

Unit cell a=5.6650 b=5.6650 c=4.4241 alpha=90.00 beta=90.00 gamma=90.00
With the nearest neighbours (Å) after each atom.
Space group P4/mmm (No. 123)
Symmetry-distinct sites (fractional):
Ca1 0.0000 0.0000 0.0000 x1  2 O 2.21
Pb1 0.0000 0.5000 0.5000 x2  2 O 2.83
I1 0.5000 0.5000 0.0000 x1  8 Pb 3.59, 4 Ca 4.01
O1 0.0000 0.0000 0.5000 x1  2 Ca 2.21

ΔE_f (raw) = -0.694 eV per atom

# 4
Entry from Alexandria via LeMat-Bulk: crystalline Li2YRePd at its relaxed geometry (PBE).

Unit cell a=4.4681 b=4.4681 c=4.9396 alpha=90.00 beta=90.00 gamma=90.00
With the nearest neighbours (Å) after each atom.
Space group P4/mmm (No. 123)
Symmetry-distinct sites (fractional):
Li1 0.0000 0.5000 0.0000 x2  2 Pd 2.23
Y1 0.0000 0.0000 0.5000 x1  4 Re 3.16, 8 Li 3.33
Re1 0.5000 0.5000 0.5000 x1  2 Pd 2.47
Pd1 0.5000 0.5000 0.0000 x1  4 Li 2.23, 2 Re 2.47

Calculated formation energy = 396.5 meV per atom

# 5
Entry from Alexandria via LeMat-Bulk: crystalline YSCl2 at its relaxed geometry (PBE).

Unit cell a=4.4377 b=4.4377 c=18.8865 alpha=90.00 beta=90.00 gamma=90.00
With the nearest neighbours (Å) after each atom.
Space group I-42d (No. 122)
Symmetry-distinct sites (fractional):
Y1 0.0000 0.0000 0.0000 x4  4 Cl 2.79
S1 0.0000 0.0000 0.5000 x4  4 Cl 2.88, 4 Y 3.14
Cl1 0.2225 0.2500 0.1250 x8  2 Y 2.79, 2 S 2.88, 2 Cl 2.97

ΔE to the lowest computed polymorph = 0.0 meV/atom
ΔE_f (raw) = -1.162 eV per atom

# 6
Entry from Alexandria via LeMat-Bulk: crystalline Cr3Se5 at its relaxed geometry (PBE).

Unit cell a=8.0474 b=8.0474 c=5.3174 alpha=90.00 beta=90.00 gamma=120.00
With the nearest neighbours (Å) after each atom.
Space group P6_3/mcm (No. 193)
Symmetry-distinct sites (fractional):
Cr1 0.0000 0.3671 0.2500 x6  9 Se 2.66-2.90
Se1 0.0000 0.2725 0.7500 x6  5 Cr 2.66-2.90
Se2 0.3333 0.6667 0.0000 x4  2 Se 2.66, 6 Cr 2.88

ΔE to the lowest computed polymorph = 75.9 meV/atom
ΔE_f (raw) = -0.083 eV per atom

# 7
Entry from Alexandria via LeMat-Bulk: crystalline YTi3As at its relaxed geometry (PBE).

Unit cell a=4.8470 b=4.8470 c=4.8470 alpha=90.00 beta=90.00 gamma=90.00
With the nearest neighbours (Å) after each atom.
Space group Pm-3m (No. 221)
Symmetry-distinct sites (fractional):
Y1 0.0000 0.0000 0.0000 x1  6 Ti 2.42
Ti1 0.0000 0.0000 0.5000 x3  2 Y 2.42
As1 0.5000 0.5000 0.5000 x1  12 Ti 3.43

ΔE to the lowest computed polymorph = 1498.9 meV/atom
Calculated formation energy = 1483.0 meV per atom

# 8
Entry from Alexandria via LeMat-Bulk: crystalline PPt2 at its relaxed geometry (PBE).

Unit cell a=3.6981 b=3.6981 c=3.9993 alpha=90.00 beta=90.00 gamma=120.00
With the nearest neighbours (Å) after each atom.
Space group P-3m1 (No. 164)
Symmetry-distinct sites (fractional):
P1 0.0000 0.0000 0.0000 x1  6 Pt 2.42
Pt1 0.3333 0.6667 0.2841 x2  3 P 2.42

Calculated formation energy = -323.8 meV per atom

# 9
Entry from Alexandria via LeMat-Bulk: crystalline NiHgB3 at its relaxed geometry (PBE).

Unit cell a=3.9468 b=3.9468 c=3.9468 alpha=90.00 beta=90.00 gamma=90.00
With the nearest neighbours (Å) after each atom.
Space group Pm-3m (No. 221)
Symmetry-distinct sites (fractional):
Ni1 0.0000 0.0000 0.0000 x1  6 B 1.97
Hg1 0.5000 0.5000 0.5000 x1  12 B 2.79
B1 0.0000 0.0000 0.5000 x3  2 Ni 1.97

ΔE to the lowest computed polymorph = 0.0 meV/atom
Calculated formation energy = 1209.4 meV per atom

# 10
Entry from Alexandria via LeMat-Bulk: crystalline Ce6P2Ir at its relaxed geometry (PBE).

Unit cell a=6.8398 b=7.5098 c=10.9673 alpha=90.00 beta=128.35 gamma=90.00
With the nearest neighbours (Å) after each atom.
Space group P2_1/c (No. 14)
Symmetry-distinct sites (fractional):
Ce1 0.1165 0.1948 0.4510 x4  1 Ir 2.75, 1 Ce 2.82, 3 P 2.94-3.02
Ce2 0.2937 0.6769 0.4622 x4  1 Ir 2.71, 1 Ce 2.79, 2 P 2.96-2.98
Ce3 0.3301 0.0394 0.1823 x4  2 Ce 2.79-2.82, 1 Ir 2.92, 2 P 3.01-3.03
P1 0.1952 0.1090 0.7440 x4  8 Ce 2.94-3.08
Ir1 0.5000 0.0000 0.5000 x2  6 Ce 2.71-2.92

Calculated formation energy = -692.2 meV per atom

# 11
Entry from Alexandria via LeMat-Bulk: crystalline TiAsSe3 at its relaxed geometry (PBE).

Unit cell a=4.9508 b=4.9508 c=4.9508 alpha=90.00 beta=90.00 gamma=90.00
With the nearest neighbours (Å) after each atom.
Space group Pm-3m (No. 221)
Symmetry-distinct sites (fractional):
Ti1 0.0000 0.0000 0.0000 x1  12 Se 3.50
As1 0.5000 0.5000 0.5000 x1  6 Se 2.48
Se1 0.0000 0.5000 0.5000 x3  2 As 2.48

ΔE to the lowest computed polymorph = 458.2 meV/atom
ΔE_f (raw) = 0.479 eV per atom

# 12
Entry from Alexandria via LeMat-Bulk: crystalline Mg4Cu8Se at its relaxed geometry (PBE).

Unit cell a=7.6035 b=7.6035 c=7.7006 alpha=90.00 beta=90.00 gamma=90.00
With the nearest neighbours (Å) after each atom.
Space group I4/mmm (No. 139)
Symmetry-distinct sites (fractional):
Mg1 0.2500 0.2500 0.2500 x8  8 Cu 2.71-2.79
Cu1 0.0000 0.2230 0.0000 x8  4 Cu 2.40-2.44
Cu2 0.0000 0.3390 0.5000 x8  3 Cu 2.44-2.45, 1 Se 2.58
Se1 0.0000 0.0000 0.5000 x2  4 Cu 2.58

ΔE to the lowest computed polymorph = 203.5 meV/atom
ΔE_f (raw) = 0.098 eV per atom

Number 1: E -1.387 eV/atom. Number 2: E -5.659 eV/atom. Number 3: E -3.879 eV/atom. Number 4: E -5.190 eV/atom. Number 5: E -4.733 eV/atom. Number 6: E -5.870 eV/atom. Number 7: E -5.477 eV/atom. Number 8: E -6.154 eV/atom. Number 9: E -4.014 eV/atom. Number 10: E -6.835 eV/atom. Number 11: E -4.120 eV/atom. Number 12: E -3.182 eV/atom.